Record 1
DFT (GGA-PBE) results for a relaxed NaLiAsPd2 crystal.

The energy relative to the elements comes out at -0.26 eV per atom. As for the space group: P4/mmm (123).

Cell and atoms, written as extended XYZ:
```
5
Lattice="-4.0083 -2.5325 0.3505 2.3451 -3.9015 -1.3717 1.0157 -0.9811 4.5270" Properties=species:S:1:pos:R:3 pbc="T T T"
Pd 1.1725 -1.9508 -0.6858
Pd -2.0042 -1.2662 0.1752
Na -0.3238 -3.7075 1.7529
Li 0.5078 -0.4905 2.2635
As 0.0000 0.0000 0.0000
```

Record 2
DFT (GGA-PBE) results for a relaxed KTb2PdO4 crystal.

The value obtained for the formation energy (no corrections) is -16.9 eV/f.u. As for the space group: I-42m (121).

Cell and atoms, written as extended XYZ:
```
8
Lattice="-0.4348 6.5321 -1.2086 -1.8616 -5.4168 -3.3927 -3.5390 -4.2059 3.7557" Properties=species:S:1:pos:R:3 pbc="T T T"
O -2.5521 -0.4846 -0.5167
O -1.5190 -3.6388 -1.4598
O -2.2637 -3.1011 1.7140
O -4.9012 -5.4888 -0.2202
K 0.0000 0.0000 0.0000
Tb -3.3370 -1.2425 1.3643
Tb -2.4984 -1.8480 -2.2099
Pd -2.7003 -4.8113 0.1815
```

Record 3
DFT (GGA-PBE) results for a relaxed K2BiSb3Au4 crystal.

The value obtained for the formation energy (no corrections) is -2.9 eV/f.u. As for the space group: P-4m2 (115).

Cell and atoms, written as extended XYZ:
```
10
Lattice="4.8855 0.0000 0.0000 0.0000 4.8855 0.0000 0.0000 0.0000 11.5250" Properties=species:S:1:pos:R:3 pbc="T T T"
Sb 0.0000 2.4427 1.4279
Sb 0.0000 0.0000 5.7625
Sb 2.4427 0.0000 10.0971
K 2.4427 0.0000 2.7374
K 0.0000 2.4427 8.7876
Bi 2.4427 2.4427 5.7625
Au 0.0000 0.0000 0.0000
Au 2.4427 2.4427 0.0000
Au 2.4427 0.0000 7.3906
Au 0.0000 2.4427 4.1344
```

Record 4
DFT (GGA-PBE) results for a relaxed Ho2Er3Tm6Th crystal.

The energy relative to the elements comes out at 0.03 eV per atom. As for the space group: C2/m (12).

Cell and atoms, written as extended XYZ:
```
12
Lattice="6.0783 0.0013 0.0143 -3.0366 5.2655 0.0143 -1.0419 -1.8041 11.4298" Properties=species:S:1:pos:R:3 pbc="T T T"
Tm -0.0341 -0.0590 8.5767
Tm 2.0041 -0.0056 2.8670
Tm -0.0043 3.4683 8.5914
Tm -1.0064 1.7331 2.8670
Tm 3.0062 1.7296 8.5914
Tm 2.0339 3.5217 2.8817
Er 4.0320 -0.0198 5.7292
Er -2.0321 3.4825 5.7292
Er 0.9999 1.7313 5.7292
Ho 3.0405 1.7558 0.0143
Ho 0.0013 3.5110 0.0143
Th 0.0000 0.0000 0.0000
```

Record 5
DFT (GGA-PBE) results for a relaxed Sm2TiAl4Au3 crystal.

The energy relative to the elements comes out at -0.62 eV per atom. As for the space group: P-4m2 (115).

Cell and atoms, written as extended XYZ:
```
10
Lattice="4.2618 0.0000 0.0000 0.0000 4.2618 0.0000 0.0000 0.0000 11.2110" Properties=species:S:1:pos:R:3 pbc="T T T"
Al 2.1309 2.1309 0.0000
Al 0.0000 2.1309 4.0053
Al 0.0000 0.0000 0.0000
Al 2.1309 0.0000 7.2057
Au 2.1309 0.0000 9.7324
Au 0.0000 0.0000 5.6055
Au 0.0000 2.1309 1.4787
Sm 0.0000 2.1309 8.3962
Sm 2.1309 0.0000 2.8149
Ti 2.1309 2.1309 5.6055
```

Record 6
DFT (GGA-PBE) results for a relaxed CeHo2ErIn4 crystal.

The energy relative to the elements comes out at -0.42 eV per atom. As for the space group: R-3m (166).

Cell and atoms, written as extended XYZ:
```
8
Lattice="-2.2387 3.2381 3.5880 -4.6590 2.3483 -1.0726 -6.5441 -4.9578 4.3449" Properties=species:S:1:pos:R:3 pbc="T T T"
Ce -6.7209 0.3143 3.4301
In -4.9747 -2.4364 3.0485
In -8.3318 -2.2739 4.7608
In -5.1100 2.9025 2.0994
In -8.4671 3.0650 3.8118
Er 0.0000 0.0000 0.0000
Ho -10.0899 0.4577 5.1523
Ho -3.3519 0.1710 1.7080
```

Record 7
DFT (GGA-PBE) results for a relaxed Ho3NpPt12 crystal.

The energy relative to the elements comes out at -0.95 eV per atom. As for the space group: P4/mmm (123).

Cell and atoms, written as extended XYZ:
```
16
Lattice="4.1200 0.0000 0.0000 0.0000 4.1200 0.0000 0.0000 0.0000 16.4696" Properties=species:S:1:pos:R:3 pbc="T T T"
Ho 0.0000 0.0000 4.1675
Ho 0.0000 0.0000 8.2348
Ho 0.0000 0.0000 12.3021
Pt 0.0000 2.0600 2.0485
Pt 2.0600 0.0000 6.1900
Pt 2.0600 2.0600 12.3380
Pt 2.0600 0.0000 14.4211
Pt 0.0000 2.0600 6.1900
Pt 2.0600 2.0600 8.2348
Pt 2.0600 0.0000 2.0485
Pt 2.0600 0.0000 10.2797
Pt 2.0600 2.0600 4.1317
Pt 2.0600 2.0600 0.0000
Pt 0.0000 2.0600 14.4211
Pt 0.0000 2.0600 10.2797
Np 0.0000 0.0000 0.0000
```

Record 8
DFT (GGA-PBE) results for a relaxed Zn2Fe2Ni7 crystal.

The energy relative to the elements comes out at -0.07 eV per atom. As for the space group: P-1 (2).

Cell and atoms, written as extended XYZ:
```
11
Lattice="5.1138 1.8588 1.4842 5.1078 7.5117 5.0385 1.7392 2.4088 5.9869" Properties=species:S:1:pos:R:3 pbc="T T T"
Fe 7.5512 6.4399 8.5375
Fe 4.4096 5.3394 3.9721
Zn 4.0339 3.2595 5.4461
Zn 7.9269 8.5198 7.0636
Ni 8.4096 8.5833 9.5147
Ni 6.3680 4.1583 5.0268
Ni 3.5513 3.1960 2.9950
Ni 5.5928 7.6209 7.4828
Ni 4.8215 5.4590 6.5016
Ni 7.1394 6.3202 6.0081
Ni 0.0000 0.0000 0.0000
```

Record 9
DFT (GGA-PBE) results for a relaxed KWAu2 crystal.

The energy relative to the elements comes out at 0.54 eV per atom. The offset from the most stable computed form comes out at 155.3 meV per atom. As for the space group: C2/m (12).

Cell and atoms, written as extended XYZ:
```
4
Lattice="-1.0317 -2.0936 4.0072 -0.6630 -4.0713 2.1191 7.2102 -0.7012 2.1424" Properties=species:S:1:pos:R:3 pbc="T T T"
W 4.1366 -5.1496 6.2016
K 1.3789 -1.7165 2.0672
Au 6.6916 -0.7004 2.0403
Au 3.2764 -3.4338 4.2365
```

Record 10
DFT (GGA-PBE) results for a relaxed CaY3Ir crystal.

The energy relative to the elements comes out at -0.40 eV per atom. The offset from the most stable computed form comes out at 0.0 meV per atom. As for the space group: P2_1/m (11).

Cell and atoms, written as extended XYZ:
```
10
Lattice="8.9601 0.0012 -0.0105 -0.0016 3.7846 -0.0001 2.2833 0.0017 8.9208" Properties=species:S:1:pos:R:3 pbc="T T T"
Y 2.9024 0.9419 7.7565
Y 3.6802 0.9416 1.6445
Y 9.2367 0.9414 2.3389
Y 5.7142 2.8358 7.3639
Y 6.0569 2.8358 3.8500
Y 2.6532 2.8344 4.5553
Ca 8.5764 0.9446 5.8934
Ca 6.7165 2.8324 0.2958
Ir 1.7077 2.8330 0.7507
Ir 4.6258 0.9429 5.4487
```

Record 11
DFT (GGA-PBE) results for a relaxed TmThTe2N crystal.

The value obtained for the formation energy (no corrections) is -7.6 eV/f.u. As for the space group: P4/nmm (129).

Cell and atoms, written as extended XYZ:
```
10
Lattice="-0.6528 0.7133 4.0933 4.0769 -0.6900 0.7704 2.9878 15.2246 -2.1764" Properties=species:S:1:pos:R:3 pbc="T T T"
Te 2.4070 14.2848 0.0556
Te 2.2929 0.9515 0.1999
Te 0.5874 5.0126 1.3811
Te 4.1125 10.2237 -1.1256
Th 3.3206 6.1884 -0.5488
Th 1.3793 9.0479 0.8042
Tm 0.0461 2.2549 1.7753
Tm 4.6537 12.9814 -1.5199
N 3.2060 7.6240 1.3436
N 1.4939 7.6123 -1.0882
```

Record 12
DFT (GGA-PBE) results for a relaxed RbTl crystal.

The energy relative to the elements comes out at 0.06 eV per atom. The offset from the most stable computed form comes out at 122.1 meV per atom. As for the space group: I4/m (87).

Cell and atoms, written as extended XYZ:
```
16
Lattice="-1.8668 -12.6489 -5.8554 9.5831 3.1252 -9.8063 2.8608 -1.4957 2.3190" Properties=species:S:1:pos:R:3 pbc="T T T"
Rb 0.6761 -3.8261 -3.3018
Rb 8.7632 -2.7389 -9.1707
Rb 6.1084 0.3543 -7.3069
Rb 1.8139 -8.2806 -4.1720
Rb 7.0402 -5.6976 -12.3599
Rb 1.6079 -9.8781 -8.3547
Rb 5.9646 -9.3358 -9.9731
Rb 4.6125 -1.6836 -3.3695
Tl 4.0272 -5.2173 -4.9266
Tl 6.4549 -9.2313 -13.9170
Tl 8.7559 1.1336 -10.0705
Tl 4.4614 -7.5013 -6.9355
Tl -1.0396 -10.6573 -5.5912
Tl 1.2614 -0.2924 -1.7447
Tl 6.5499 -5.8022 -8.4160
Tl 6.1157 -3.5181 -6.4072
```

Record 13
DFT (GGA-PBE) results for a relaxed In2Si2C crystal.

The value obtained for the formation energy (no corrections) is 3.9 eV/f.u. The offset from the most stable computed form comes out at 0.0 meV per atom. As for the space group: P4/mbm (127).

Cell and atoms, written as extended XYZ:
```
10
Lattice="5.5881 0.0000 0.0000 0.0000 5.5881 0.0000 0.0000 0.0000 5.7814" Properties=species:S:1:pos:R:3 pbc="T T T"
In 3.8424 1.0484 2.8907
In 1.0484 1.7456 2.8907
In 1.7456 4.5397 2.8907
In 4.5397 3.8424 2.8907
Si 3.7041 0.9100 0.0000
Si 1.8840 4.6781 0.0000
Si 0.9100 1.8840 0.0000
Si 4.6781 3.7041 0.0000
C 0.0000 0.0000 0.0000
C 2.7940 2.7940 0.0000
```

Record 14
DFT (GGA-PBE) results for a relaxed BaDyPb2 crystal.

The energy relative to the elements comes out at -0.37 eV per atom. As for the space group: R-3m (166).

Cell and atoms, written as extended XYZ:
```
4
Lattice="5.1820 0.0000 0.0000 2.5910 4.4877 0.0000 2.5910 1.4959 6.4048" Properties=species:S:1:pos:R:3 pbc="T T T"
Dy 0.0000 0.0000 0.0000
Pb 7.7730 4.4877 5.2395
Pb 2.5910 1.4959 1.1653
Ba 5.1820 2.9918 3.2024
```

Record 15
DFT (GGA-PBE) results for a relaxed CsPuHgSe3 crystal.

The value obtained for the formation energy (no corrections) is -6.2 eV/f.u. As for the space group: P2_1/m (11).

Cell and atoms, written as extended XYZ:
```
12
Lattice="-1.1846 2.4338 -3.4351 1.1723 -7.4286 -5.6674 -10.0047 0.2902 3.6558" Properties=species:S:1:pos:R:3 pbc="T T T"
Se -3.8729 -5.0326 -3.6220
Se -1.1045 -4.6931 -7.1201
Se -6.1441 0.3280 -1.8247
Se -8.2345 -3.0354 -0.7028
Se -1.7826 -1.6692 -4.7439
Se -8.9126 -0.0116 1.6734
Hg -6.3915 0.1298 0.9041
Hg -3.6255 -4.8344 -6.3508
Cs -7.4668 -3.6964 -4.2198
Cs -2.5503 -1.0083 -1.2269
Pu -9.1334 -0.3407 -1.2676
Pu -0.8836 -4.3639 -4.1791
```

Record 16
DFT (GGA-PBE) results for a relaxed PuTh2O8 crystal.

The value obtained for the formation energy (no corrections) is -30.5 eV/f.u. As for the space group: C2/m (12).

Cell and atoms, written as extended XYZ:
```
11
Lattice="-2.1905 -0.4835 3.3268 1.2744 -4.7147 0.1539 5.9870 4.2280 2.1369" Properties=species:S:1:pos:R:3 pbc="T T T"
Pu -1.0952 -0.2418 1.6634
O 2.5401 -1.7208 3.8421
O 2.5308 0.7506 1.7755
O 0.3159 -1.1657 0.0385
O 4.6364 0.0806 3.0644
O 1.0737 -3.4303 2.6280
O 0.4346 -1.0509 2.5530
O 3.9972 2.4601 2.9895
O 4.7551 0.1954 5.5790
Th 2.4451 -1.8272 1.3444
Th 2.6258 0.8570 4.2731
```

Record 17
DFT (GGA-PBE) results for a relaxed Ba3SrCa5 crystal.

The energy relative to the elements comes out at 0.21 eV per atom. The offset from the most stable computed form comes out at 139.4 meV per atom. As for the space group: C2/c (15).

Cell and atoms, written as extended XYZ:
```
18
Lattice="-3.1227 6.3537 0.8577 0.6916 -1.6447 -14.9464 -7.4815 -5.0328 10.0442" Properties=species:S:1:pos:R:3 pbc="T T T"
Ca -3.7422 -3.5474 -4.3555
Ca -6.2905 -5.1318 -0.9607
Ca -1.7930 2.6144 -8.8855
Ca -4.2428 0.8295 -5.5178
Ca -8.1197 -2.9381 4.8410
Ca -3.6222 4.8081 -3.0839
Ca -6.1705 3.2236 0.3110
Ca -7.0878 -0.7701 7.9387
Ca -5.6699 -1.1532 1.4732
Ca -3.5164 2.0910 2.9632
Ba -8.1465 0.9878 3.7978
Ba -1.7662 -1.3116 -7.8424
Ba 0.0000 0.0000 0.0000
Ba -6.6790 -1.4432 -2.4983
Ba -3.7408 -2.5164 5.0221
Ba -3.2337 1.1194 -1.5462
Sr -1.9707 -1.0542 2.5386
Sr -8.6336 2.3751 8.3633
```

Record 18
DFT (GGA-PBE) results for a relaxed LaSF6 crystal.

The value obtained for the formation energy (no corrections) is -19.5 eV/f.u. As for the space group: C2/m (12).

Cell and atoms, written as extended XYZ:
```
8
Lattice="5.6225 -0.4005 0.0000 0.9736 5.5109 0.0000 0.4868 2.7555 3.4497" Properties=species:S:1:pos:R:3 pbc="T T T"
F 5.3797 4.3661 2.2201
F 4.8929 1.6106 1.2296
F 1.7033 3.4998 1.2296
F 4.1450 4.0931 0.0000
F 2.1901 6.2553 2.2201
F 2.4511 1.0174 0.0000
La 0.0000 0.0000 0.0000
S 3.2981 2.5552 0.0000
```

Record 19
DFT (GGA-PBE) results for a relaxed BaSi2Te crystal.

The value obtained for the formation energy (no corrections) is -1.0 eV/f.u. As for the space group: C2/m (12).

Cell and atoms, written as extended XYZ:
```
4
Lattice="-5.6211 0.0717 -0.4127 -4.0680 -1.9854 -3.3588 -2.1568 -5.0376 2.3804" Properties=species:S:1:pos:R:3 pbc="T T T"
Si -6.2001 -4.1047 -0.4025
Si -11.5687 -6.3224 -1.6842
Te -8.8844 -5.2135 -1.0433
Ba -2.9615 -1.7378 -0.3478
```

Record 20
DFT (GGA-PBE) results for a relaxed ScBe2Pd2 crystal.

The energy relative to the elements comes out at -0.49 eV per atom. The offset from the most stable computed form comes out at 57.7 meV per atom. As for the space group: I4/mmm (139).

Cell and atoms, written as extended XYZ:
```
5
Lattice="-2.2469 1.1573 2.3347 1.6994 -1.6862 2.4713 3.2096 4.6148 3.3368" Properties=species:S:1:pos:R:3 pbc="T T T"
Be 0.3445 2.7538 4.0373
Be 2.3177 1.3321 4.1056
Sc 0.0000 0.0000 0.0000
Pd 2.1151 3.2006 5.5198
Pd 0.5471 0.8853 2.6231
```

Record 21
DFT (GGA-PBE) results for a relaxed InSb2Te crystal.

The value obtained for the formation energy (no corrections) is 0.6 eV/f.u. The offset from the most stable computed form comes out at 237.9 meV per atom. As for the space group: I-4m2 (119).

Cell and atoms, written as extended XYZ:
```
4
Lattice="-4.2508 -2.9885 -1.4097 2.9653 -2.2094 -3.9132 1.7792 -0.1579 5.0791" Properties=species:S:1:pos:R:3 pbc="T T T"
Sb 2.0508 -2.4831 -0.7478
Sb 0.0000 0.0000 0.0000
Te -0.6428 -2.5989 -2.6614
In -1.5572 -2.8727 0.5040
```

Record 22
DFT (GGA-PBE) results for a relaxed V2Se9 crystal.

The value obtained for the formation energy (no corrections) is -4.6 eV/f.u. As for the space group: C2/c (15).

Cell and atoms, written as extended XYZ:
```
22
Lattice="8.6628 0.0136 0.0348 -1.7104 8.4923 0.0348 0.9503 1.1626 8.4127" Properties=species:S:1:pos:R:3 pbc="T T T"
Se 6.4857 1.6283 5.2482
Se 5.3494 3.3902 0.2805
Se 2.6407 1.2160 0.5256
Se 8.0727 3.5698 7.4406
Se 3.6748 1.0361 7.0555
Se -0.1910 3.2262 2.8491
Se 1.4169 8.0402 3.2342
Se 5.1696 3.1702 3.9955
Se 1.1413 3.4111 4.7320
Se 8.0936 6.4423 5.6333
Se 2.7685 5.3162 2.1380
Se 6.7613 6.2574 3.7504
Se 2.5533 6.2784 8.2019
Se 2.7331 6.4983 4.4869
Se 5.2620 8.4526 7.9568
Se 4.2279 8.6324 1.4269
Se -0.1700 6.0987 1.0418
Se 5.1341 4.3523 6.3444
V 0.5683 5.5585 3.5170
V 7.3344 4.1100 4.9654
V 5.8094 2.2443 7.7234
V 2.0932 7.4242 0.7590
```